The following is a DFT calculation (PBE) of an optimized crystal structure of TcSb.

Summary:
The calculation puts the offset from the most stable computed form at 112 kJ/mol of formula units. As for the calculated total energy: -6.60 eV per atom. For the magnetic moment, the calculation gives 0.000 μB per atom. The value obtained for the uncorrected formation energy is 0.64 eV per atom.

a = 3.833 Å, b = 3.833 Å, c = 3.833 Å
α = 60.00°, β = 60.00°, γ = 60.00°
Atoms (fractional coordinates):
Tc 0.000 0.000 0.000
Sb 0.500 0.500 0.500